First-principles (GGA-PBE) data for crystalline YErNi10 at its relaxed geometry, as listed in the Alexandria database.

Summary:
Spin magnetization: 2.858 μB/cell
Formation enthalpy at 0 K: -31.6 kJ per mole of atoms
Volume: 162.62 Å³/f.u.
DFT total energy: -6.064 eV/atom

Lattice parameters (Å, degrees): 3.956 4.874 8.433 90.00 90.00 90.00
Sites, in units of the cell vectors:
1 Y 0.000 0.000 0.000
2 Er 0.000 0.500 0.500
3 Ni 0.000 0.000 0.335
4 Ni 0.000 0.000 0.665
5 Ni 0.000 0.500 0.169
6 Ni 0.000 0.500 0.831
7 Ni 0.500 0.000 0.500
8 Ni 0.500 0.251 0.251
9 Ni 0.500 0.251 0.749
10 Ni 0.500 0.500 0.000
11 Ni 0.500 0.749 0.251
12 Ni 0.500 0.749 0.749